## UBe4Mo (PBE)

Data for a relaxed UBe4Mo crystal.

a = 4.729 Å, b = 4.729 Å, c = 4.729 Å
α = 60.00°, β = 60.00°, γ = 60.00°
Sites, in units of the cell vectors:
Be  0.122  0.626  0.626
Be  0.626  0.626  0.626
Be  0.626  0.122  0.626
Be  0.626  0.626  0.122
Mo  0.000  0.000  0.000
U  0.250  0.250  0.250

## Properties
- formation enthalpy at 0 K (meV per atom) = 174
- density of states at the Fermi level (states/eV/f.u.) = 6.9
- energy (eV/f.u.) = -35.98
- space-group type = F-43m
- M_tot (μB/f.u.) = 0.574
- crystal system = cubic